Computed, not measured: crystalline SrZnIn3 at its relaxed geometry at the GGA-PBE level of DFT.

Values from the calculation:
Electronic total energy ... -11.38 eV per cell
Formation energy from the elements ... -42 meV per atom
Mass density ... 5.5 g cm⁻³
Density of states at the Fermi level ... 0.386 states/eV per atom

The structure in CIF format:
```
data_SrZnIn3
_chemical_formula_sum 'Sr1 Zn1 In3'
_cell_length_a 5.325
_cell_length_b 5.325
_cell_length_c 5.325
_cell_angle_alpha 90.00
_cell_angle_beta 90.00
_cell_angle_gamma 90.00
_symmetry_space_group_name_H-M 'P m -3 m'
_symmetry_Int_Tables_number 221
_symmetry_space_group_name_Hall '-P 4 2 3'
loop_
_atom_site_label
_atom_site_fract_x
_atom_site_fract_y
_atom_site_fract_z
Sr1 0.000 0.000 0.000
Zn1 0.500 0.500 0.500
In1 0.000 0.500 0.500
```